Nd2SbO6: relaxed, PBE.

The value obtained for the total DFT energy (no corrections) is -7.197 eV per atom. As for the magnetic moment: 1.0 μB per formula unit. The volume is 141 Å³/f.u. Its space-group type is P2_1/c (14). For the formation energy without anion corrections, the calculation gives -2.374 eV/atom.

```
Nd2SbO6
1.0
-1.478 -5.336 -1.544
5.897 -1.390 -0.844
0.835 -1.290 7.957
O Nd Sb
12 4 2
Direct
0.667 0.415 0.221 O
0.145 0.265 0.404 O
0.218 0.335 0.052 O
0.718 0.165 0.552 O
0.355 0.765 0.096 O
0.645 0.235 0.904 O
0.333 0.585 0.779 O
0.167 0.085 0.721 O
0.282 0.835 0.448 O
0.833 0.915 0.279 O
0.855 0.735 0.596 O
0.782 0.665 0.948 O
0.453 0.081 0.263 Nd
0.953 0.419 0.763 Nd
0.547 0.919 0.737 Nd
0.047 0.581 0.237 Nd
0.500 0.500 0.000 Sb
0.000 0.000 0.500 Sb
```